(1)
DFT (meta-GGA SCAN) results for a PBEsol-optimized structure of Tl4PtCl.

Output
formation energy without anion corrections	0.29	eV per atom
spin magnetization	0.000	Bohr magnetons per cell

```
Tl4PtCl
1.0
0.000 4.284 4.284
4.284 0.000 4.284
4.284 4.284 0.000
Tl Pt Cl
4 1 1
Cartesian
1.068 1.068 1.068
3.215 3.215 1.068
3.215 1.068 3.215
1.068 3.215 3.215
6.425 6.425 6.425
4.284 4.284 4.284
```

---

(2)
DFT (meta-GGA SCAN) results for a PBEsol-optimized structure of TlPt2Cl.

Output
formation energy without anion corrections	0.24	eV per atom
energy relative to the lowest polymorph listed for this composition	0	meV per atom
spin magnetization	0.000	Bohr magnetons per cell

```
TlPt2Cl
1.0
2.979 0.000 0.000
0.000 5.173 0.000
0.000 0.000 9.138
Tl Pt Cl
2 4 2
Cartesian
0.000 0.000 0.000
1.490 2.586 4.569
0.000 2.586 2.276
0.000 2.586 6.862
1.490 0.000 2.293
1.490 0.000 6.844
0.000 0.000 4.569
1.490 2.586 0.000
```

---

(3)
DFT (meta-GGA SCAN) results for a PBEsol-optimized structure of TlPt3Cl.

Output
formation energy without anion corrections	0.93	eV per atom
spin magnetization	0.000	Bohr magnetons per cell

```
TlPt3Cl
1.0
4.577 0.000 0.000
0.000 4.577 0.000
0.000 0.000 4.577
Tl Pt Cl
1 3 1
Cartesian
0.000 0.000 0.000
0.000 2.289 2.289
2.289 0.000 2.289
2.289 2.289 0.000
2.289 2.289 2.289
```

---

(4)
DFT (meta-GGA SCAN) results for a PBEsol-optimized structure of TlPt2Cl.

Output
formation energy without anion corrections	0.42	eV per atom
energy relative to the lowest polymorph listed for this composition	181	meV per atom
spin magnetization	0.000	Bohr magnetons per cell

```
TlPt2Cl
1.0
3.392 0.000 0.000
0.000 3.392 0.000
0.000 0.000 6.209
Tl Pt Cl
1 2 1
Cartesian
0.000 0.000 0.000
1.696 1.696 1.433
1.696 1.696 4.776
0.000 0.000 3.105
```

---

(5)
DFT (meta-GGA SCAN) results for a PBEsol-optimized structure of TlPtCl2.

Output
formation energy without anion corrections	0.27	eV per atom
energy relative to the lowest polymorph listed for this composition	309	meV per atom
spin magnetization	0.001	Bohr magnetons per cell

```
TlPtCl2
1.0
6.760 0.000 0.000
0.000 6.760 0.000
0.000 0.000 6.760
Tl Pt Cl
4 4 8
Cartesian
0.000 0.000 0.000
0.000 3.380 3.380
3.380 0.000 3.380
3.380 3.380 0.000
1.690 1.690 5.070
1.690 5.070 1.690
5.070 1.690 1.690
5.070 5.070 5.070
0.000 0.000 3.380
0.000 3.380 0.000
1.690 1.690 1.690
1.690 5.070 5.070
3.380 0.000 0.000
3.380 3.380 3.380
5.070 1.690 5.070
5.070 5.070 1.690
```

---

(6)
DFT (meta-GGA SCAN) results for a PBEsol-optimized structure of TlPtCl2.

Output
formation energy without anion corrections	-0.04	eV per atom
energy relative to the lowest polymorph listed for this composition	0	meV per atom
spin magnetization	4.929	Bohr magnetons per cell

```
TlPtCl2
1.0
3.639 0.000 0.000
-1.820 3.152 0.000
0.000 0.000 26.702
Tl Pt Cl
3 3 6
Cartesian
0.000 0.000 0.000
0.000 2.101 17.801
1.820 1.051 8.901
0.000 0.000 13.351
0.000 2.101 4.450
1.820 1.051 22.251
0.000 0.000 3.072
0.000 0.000 23.629
0.000 2.101 14.729
0.000 2.101 20.874
1.820 1.051 5.828
1.820 1.051 11.973
```

---

(7)
DFT (meta-GGA SCAN) results for a PBEsol-optimized structure of YTlPt2Cl.

Output
formation energy without anion corrections	0.48	eV per atom
spin magnetization	0.000	Bohr magnetons per cell

```
YTlPt2Cl
1.0
4.944 0.000 0.000
0.000 4.944 0.000
0.000 0.000 5.742
Y Tl Pt Cl
1 1 2 1
Cartesian
0.000 0.000 0.000
0.000 0.000 2.871
0.000 2.472 2.871
2.472 0.000 2.871
2.472 2.472 0.000
```

---

(8)
DFT (meta-GGA SCAN) results for a PBEsol-optimized structure of Pt2WCl.

Output
formation energy without anion corrections	-0.12	eV per atom
energy relative to the lowest polymorph listed for this composition	0	meV per atom
spin magnetization	0.000	Bohr magnetons per cell

```
Pt2WCl
1.0
2.833 0.000 0.000
0.000 2.862 0.000
-0.014 0.000 7.987
Pt W Cl
2 1 1
Cartesian
0.000 0.000 1.799
2.819 0.000 6.188
1.417 1.431 0.000
-0.007 1.431 3.994
```